InSe2Cl | GGA-PBE | relaxed

Cell lengths 6.993, 6.993, 7.143 Å; angles 60.69, 60.69, 90.00 degrees
Positions (direct):
Se 0.094 0.625 0.250
In 0.000 0.000 0.000
In 0.750 0.250 0.500
Se 0.656 0.125 0.250
Se 0.875 0.906 0.750
Cl 0.500 0.500 0.000
Cl 0.250 0.750 0.500
Se 0.375 0.344 0.750

E_form (uncorrected) in eV per atom: 0.00
Distance to the lowest polymorph of the same formula in eV per formula unit: 2.08
Symmetry: No. 122
Fermi-level density of states in states/eV per cell: 6.4
Final energy in eV/atom: -2.89

---

InSeCl2 | GGA-PBE | relaxed

Cell lengths 5.317, 5.317, 3.378 Å; angles 90.00, 90.00, 90.22 degrees
Positions (direct):
Se 0.000 0.500 0.500
Cl 0.000 0.000 0.000
In 0.500 0.000 0.500
Cl 0.500 0.500 0.000

E_form (uncorrected) in eV per atom: 0.04
Distance to the lowest polymorph of the same formula in eV per formula unit: 2.80
Symmetry: No. 65
Fermi-level density of states in states/eV per cell: 3.3
Final energy in eV/atom: -2.44

---

InSe2Cl | GGA-PBE | relaxed

Cell lengths 7.325, 7.325, 7.325 Å; angles 148.74, 148.74, 44.80 degrees
Positions (direct):
Se 0.000 0.000 0.000
In 0.750 0.250 0.500
Cl 0.250 0.750 0.500
Se 0.500 0.500 0.000

E_form (uncorrected) in eV per atom: -0.19
Distance to the lowest polymorph of the same formula in eV per formula unit: 1.32
Symmetry: No. 139
Fermi-level density of states in states/eV per cell: 2.4
Final energy in eV/atom: -3.07

---

InSeCl2 | GGA-PBE | relaxed

Cell lengths 8.823, 8.823, 8.823 Å; angles 25.93, 25.93, 25.93 degrees
Site moments in Bohr magnetons follow the coordinates.
Positions (direct):
Cl 0.979 0.979 0.979  -0.04
Se 0.750 0.750 0.750  1.06
Cl 0.521 0.521 0.521  -0.04
In 0.250 0.250 0.250  -0.14

E_form (uncorrected) in eV per atom: -0.08
Distance to the lowest polymorph of the same formula in eV per formula unit: 2.31
Symmetry: No. 166
Fermi-level density of states in states/eV per cell: 2.7
Final energy in eV/atom: -2.56

---

- Which formula does entry 3 have?
  InSe2Cl